An optimized crystal structure of NpPRuS. Source: the Alexandria database, functional PBE.

Results
Its energy relative to the elements, uncorrected is -868 meV per atom. For the density of states at the Fermi level, the calculation gives 2.42 states/eV/atom. For the magnetization, the calculation gives 0.90 μB per atom.

Lattice parameters (Å, degrees): 4.126 4.126 8.504 90.00 90.00 90.00
Positions (direct):
Ru 0.000 0.000 0.000
Ru 0.500 0.500 0.000
S 0.000 0.000 0.500
S 0.500 0.500 0.500
Np 0.500 0.000 0.699
Np 0.000 0.500 0.301
P 0.000 0.500 0.862
P 0.500 0.000 0.138